(1)
Here is crystalline AcDyY2 at its relaxed geometry from Alexandria. Energies are from GGA-PBE.

Cell: 5.844 5.844 5.844 Å, 60.00 60.00 60.00°
Fractional coordinates of all 4 atoms:
Y  0.250  0.250  0.250
Y  0.750  0.750  0.750
Ac  0.500  0.500  0.500
Dy  0.000  0.000  0.000

Output
For the calculated density, the calculation gives 6.7 Mg/m³. As for the energy of formation from the pure elements: 0.118 eV per atom. The density of states at the Fermi level comes out at 6.622 states/eV/cell.



(2)
Here is crystalline AcDy2Y6 at its relaxed geometry from Alexandria. Energies are from GGA-PBE.

Cell: 3.754 6.710 13.016 Å, 76.07 81.71 73.76°
Fractional coordinates of all 9 atoms:
Ac  0.000  0.000  0.000
Dy  0.324  0.091  0.260
Dy  0.676  0.909  0.740
Y  0.699  0.493  0.110
Y  0.301  0.507  0.890
Y  0.355  0.767  0.522
Y  0.033  0.623  0.311
Y  0.967  0.377  0.689
Y  0.645  0.233  0.478

Output
For the calculated density, the calculation gives 5.9 Mg/m³. As for the energy of formation from the pure elements: 0.056 eV per atom. The density of states at the Fermi level comes out at 14.998 states/eV/cell.



Computed VASP energy, in the same sequence as the records: -21.17 -51.59 eV per cell.